Record 1
Computed, not measured: a geometry-optimized Na2AsH2 structure at the PBE level of DFT.

Output
Fermi-level density of states (states/eV per atom): 0.50
Relative energy among the computed polymorphs (eV/f.u.): 0.000
M_tot (μB per formula unit): 0.0
Calculated total energy (eV/atom): -2.84

Cell and atoms, written as POSCAR:
```
Na2AsH2
1.0
7.803 0.000 0.000
0.000 7.803 0.000
0.000 0.000 3.283
Na H As
4 4 2
direct
0.284 0.784 0.000
0.784 0.716 0.000
0.216 0.284 0.000
0.716 0.216 0.000
0.035 0.535 0.500
0.535 0.965 0.500
0.965 0.465 0.500
0.465 0.035 0.500
0.000 0.000 0.000
0.500 0.500 0.000
```

---

Record 2
Computed, not measured: a geometry-optimized Ce2Zn15Cd2 structure at the PBE level of DFT.

Output
Fermi-level density of states (states/eV per atom): 0.72
M_tot (μB per formula unit): 1.8
Calculated total energy (eV/atom): -1.93
Formation enthalpy at 0 K (eV per atom): -0.20

Cell and atoms, written as POSCAR:
```
Ce2Zn15Cd2
1.0
6.932 -0.013 -0.011
0.887 6.875 -0.011
0.887 0.778 6.831
Cd Zn Ce
2 15 2
direct
0.895 0.895 0.895
0.105 0.105 0.105
0.647 0.647 0.165
0.300 0.000 0.700
0.000 0.700 0.300
0.353 0.835 0.353
0.700 0.300 0.000
0.000 0.300 0.700
0.353 0.353 0.835
0.700 0.000 0.300
0.500 0.000 0.000
0.835 0.353 0.353
0.300 0.700 0.000
0.647 0.165 0.647
0.165 0.647 0.647
0.000 0.000 0.500
0.000 0.500 0.000
0.658 0.658 0.658
0.342 0.342 0.342
```

---

Record 3
Computed, not measured: a geometry-optimized YNb structure at the PBE level of DFT.

Output
Fermi-level density of states (states/eV per atom): 1.57
Relative energy among the computed polymorphs (eV/f.u.): 0.307
M_tot (μB per formula unit): 0.0
Calculated total energy (eV/atom): -7.99
Formation enthalpy at 0 K (eV per atom): 0.27

Cell and atoms, written as POSCAR:
```
YNb
1.0
3.359 0.000 0.000
0.000 5.300 0.000
0.000 0.000 16.741
Nb Y
6 6
direct
0.000 0.500 0.874
0.000 0.500 0.126
0.500 0.000 0.626
0.500 0.500 0.000
0.000 0.000 0.500
0.500 0.000 0.374
0.000 0.500 0.688
0.000 0.500 0.312
0.500 0.000 0.188
0.500 0.000 0.812
0.000 0.000 0.000
0.500 0.500 0.500
```

---

Record 4
Computed, not measured: a geometry-optimized SmDy2TaO8 structure at the PBE level of DFT.

Output
Fermi-level density of states (states/eV per atom): 0.70
M_tot (μB per formula unit): 2.1
Calculated total energy (eV/atom): -8.34
Energy relative to the elements, uncorrected (eV per atom): -2.886

Cell and atoms, written as POSCAR:
```
SmDy2TaO8
1.0
5.085 -0.035 -0.003
-0.005 5.089 -0.006
0.004 0.008 6.968
O Dy Ta Sm
8 2 1 1
direct
0.685 0.687 0.500
0.185 0.813 0.786
0.315 0.313 0.500
0.815 0.187 0.214
0.281 0.279 0.000
0.719 0.721 0.000
0.815 0.187 0.786
0.185 0.813 0.214
0.500 0.500 0.755
0.500 0.500 0.245
0.000 0.000 0.000
0.000 0.000 0.500
```

---

Record 5
Computed, not measured: a geometry-optimized Li2AlSi structure at the PBE level of DFT.

Output
Fermi-level density of states (states/eV per atom): 0.49
M_tot (μB per formula unit): 0.0
Calculated total energy (eV/atom): -3.05
Energy relative to the elements, uncorrected (eV per atom): 0.202

Cell and atoms, written as POSCAR:
```
Li2AlSi
1.0
-3.574 -6.044 2.400
-2.191 -1.459 -6.938
-0.795 -5.133 -2.638
Li Si Al
4 2 2
direct
0.375 0.353 0.750
0.647 0.125 0.250
0.103 0.625 0.250
0.875 0.897 0.750
0.000 0.000 0.000
0.750 0.250 0.500
0.250 0.750 0.500
0.500 0.500 0.000
```

---

Record 6
Computed, not measured: a geometry-optimized P2IrOsS structure at the PBE level of DFT.

Output
Fermi-level density of states (states/eV per atom): 0.97
Relative energy among the computed polymorphs (eV/f.u.): 0.000
M_tot (μB per formula unit): 0.0
Calculated total energy (eV/atom): -5.80
Energy relative to the elements, uncorrected (eV per atom): 1.211

Cell and atoms, written as POSCAR:
```
P2IrOsS
1.0
-2.321 -1.331 3.582
1.661 -4.125 -0.457
3.590 1.141 2.750
S Ir Os P
1 1 1 2
direct
0.000 0.000 0.500
0.500 0.500 0.500
0.000 0.000 0.000
0.500 0.000 0.000
0.000 0.500 0.000
```

---

Record 7
Computed, not measured: a geometry-optimized Zn2Cu2As structure at the PBE level of DFT.

Output
Fermi-level density of states (states/eV per atom): 0.39
Relative energy among the computed polymorphs (eV/f.u.): 0.000
M_tot (μB per formula unit): 0.0
Calculated total energy (eV/atom): -2.99
Formation enthalpy at 0 K (eV per atom): 0.09

Cell and atoms, written as POSCAR:
```
Zn2Cu2As
1.0
-3.701 -5.904 -2.049
5.960 -2.620 -3.219
0.725 -1.283 2.387
Cu Zn As
4 4 2
direct
0.625 0.125 0.000
0.875 0.625 0.000
0.125 0.375 0.000
0.375 0.875 0.000
0.829 0.329 0.500
0.671 0.829 0.500
0.171 0.671 0.500
0.329 0.171 0.500
0.000 0.000 0.000
0.500 0.500 0.000
```

---

Record 8
Computed, not measured: a geometry-optimized Sr2InAsCl structure at the PBE level of DFT.

Output
Fermi-level density of states (states/eV per atom): 1.23
M_tot (μB per formula unit): 0.0
Calculated total energy (eV/atom): -2.66
Energy relative to the elements, uncorrected (eV per atom): -0.136

Cell and atoms, written as POSCAR:
```
Sr2InAsCl
1.0
6.330 0.000 0.000
0.000 5.126 0.000
0.000 0.000 6.330
As Cl Sr In
1 1 2 1
direct
0.500 0.500 0.500
0.000 0.500 0.000
0.000 0.000 0.500
0.500 0.000 0.000
0.000 0.000 0.000
```

---

Record 9
Computed, not measured: a geometry-optimized SrTa2P structure at the PBE level of DFT.

Output
Fermi-level density of states (states/eV per atom): 0.70
M_tot (μB per formula unit): 0.0
Calculated total energy (eV/atom): -7.54
Formation enthalpy at 0 K (eV per atom): 0.16

Cell and atoms, written as POSCAR:
```
SrTa2P
1.0
2.917 -2.691 4.515
4.416 -0.044 4.078
-1.642 1.696 4.638
Sr Ta P
1 2 1
direct
0.500 0.500 0.000
0.693 0.693 0.346
0.307 0.307 0.654
0.000 0.000 0.500
```

---

Record 10
Computed, not measured: a geometry-optimized Ca5PtO8 structure at the PBE level of DFT.

Output
Fermi-level density of states (states/eV per atom): 0.37
M_tot (μB per formula unit): 2.2
Calculated total energy (eV/atom): -6.00
Energy relative to the elements, uncorrected (eV per atom): -2.021

Cell and atoms, written as POSCAR:
```
Ca5PtO8
1.0
-5.146 -1.857 3.009
-0.013 -1.772 -5.987
4.688 -2.593 3.207
O Ca Pt
8 5 1
direct
0.692 0.406 0.893
0.006 0.191 0.748
0.487 0.594 0.286
0.714 0.201 0.308
0.252 0.257 0.443
0.557 0.809 0.815
0.185 0.743 0.994
0.107 0.799 0.513
0.021 0.406 0.169
0.385 0.148 0.979
0.763 0.594 0.615
0.500 0.000 0.500
0.831 0.852 0.237
0.250 0.500 0.750
```